The following is a DFT calculation (PBE+U) of MnAlCuF6 after structural relaxation.

a b c (Å): 5.3380 5.3380 9.1578
angles (deg): 90.00 90.00 120.00
Space group P-31c (No. 163)
Inequivalent atoms, fractional coordinates:
1 Mn 0.3333 0.6667 0.2500 (multiplicity 2)
2 Al 0.3333 0.6667 0.7500 (multiplicity 2)
3 Cu 0.0000 0.0000 0.0000 (multiplicity 2)
4 F 0.0436 0.3849 0.6382 (multiplicity 12)

* raw total energy: -5.56 eV/atom